w.
Compound: Li2MnCuO4
Source: Alexandria
Functional: PBE with a Hubbard U
Structure: relaxed

Calculated values
Mass density (g cm⁻³): 4.19

```
Li2MnCuO4
1.0
3.976 -3.979 0.000
3.976 3.979 0.000
-3.921 0.000 4.915
Li Mn Cu O
4 2 2 8
direct
0.000 0.000 0.000 Li
0.000 0.000 0.500 Li
0.000 0.500 0.000 Li
0.500 0.000 0.500 Li
0.500 0.500 0.000 Mn
0.500 0.500 0.500 Mn
0.000 0.500 0.500 Cu
0.500 0.000 0.000 Cu
0.213 0.696 0.442 O
0.250 0.282 0.523 O
0.282 0.250 0.023 O
0.304 0.787 0.058 O
0.696 0.213 0.942 O
0.718 0.750 0.977 O
0.750 0.718 0.477 O
0.787 0.304 0.558 O
```

x.
Compound: Li2MnCuO4
Source: Alexandria
Functional: PBE with a Hubbard U
Structure: relaxed

Calculated values
Mass density (g cm⁻³): 4.56

```
Li2MnCuO4
1.0
-2.069 2.069 4.181
2.069 -2.069 4.181
2.069 2.069 -4.181
Li Mn Cu O
2 1 1 4
direct
0.000 0.000 0.000 Li
0.750 0.250 0.500 Li
0.500 0.500 0.000 Mn
0.250 0.750 0.500 Cu
0.016 0.516 0.500 O
0.269 0.269 0.000 O
0.484 0.984 0.500 O
0.731 0.731 0.000 O
```

Top of the stability list: x, leading by 13 meV per atom.

w.
Compound: Sr4LiMn2Cu3S4O4
Source: Alexandria
Functional: PBE with a Hubbard U
Structure: relaxed

Calculated values
Mass density (g cm⁻³): 4.30

```
Sr4LiMn2Cu3S4O4
1.0
5.890 0.000 0.000
-0.243 6.510 0.000
-0.099 -2.763 8.563
Sr Li Mn Cu S O
4 1 2 3 4 4
direct
0.000 0.000 0.000 Sr
0.002 0.706 0.573 Sr
0.518 0.519 0.086 Sr
0.539 0.142 0.663 Sr
0.455 0.001 0.927 Li
0.054 0.441 0.858 Mn
0.531 0.648 0.726 Mn
0.271 0.906 0.318 Cu
0.340 0.312 0.388 Cu
0.842 0.969 0.320 Cu
0.010 0.640 0.183 S
0.057 0.191 0.524 S
0.482 0.658 0.452 S
0.542 0.063 0.198 S
0.221 0.718 0.823 O
0.276 0.229 0.901 O
0.714 0.471 0.829 O
0.722 0.930 0.796 O
```

x.
Compound: Sr4LiMn2Cu3S4O4
Source: Alexandria
Functional: PBE with a Hubbard U
Structure: relaxed

Calculated values
Mass density (g cm⁻³): 4.67

```
Sr4LiMn2Cu3S4O4
1.0
2.995 -8.446 0.000
2.995 8.446 0.000
-0.417 0.000 5.973
Sr Li Mn Cu S O
4 1 2 3 4 4
direct
0.061 0.452 0.251 Sr
0.204 0.204 0.295 Sr
0.548 0.939 0.749 Sr
0.796 0.796 0.705 Sr
0.508 0.492 0.000 Li
0.140 0.360 0.755 Mn
0.640 0.860 0.245 Mn
0.157 0.843 0.000 Cu
0.657 0.343 0.500 Cu
0.659 0.341 0.000 Cu
0.338 0.177 0.757 S
0.487 0.031 0.241 S
0.823 0.662 0.243 S
0.969 0.513 0.759 S
0.400 0.600 0.500 O
0.402 0.598 0.000 O
0.903 0.097 0.500 O
0.904 0.096 0.000 O
```

Top of the stability list: w, leading by 37 meV per atom.

w.
Compound: Sr4LiMn2Cu3S4O4
Source: Alexandria
Functional: PBE with a Hubbard U
Structure: relaxed

Calculated values
Mass density (g cm⁻³): 4.72

```
Sr4LiMn2Cu3S4O4
1.0
2.914 -8.815 0.000
2.914 8.815 0.000
0.000 0.000 5.827
Sr Li Mn Cu S O
4 1 2 3 4 4
direct
0.090 0.404 0.248 Sr
0.404 0.090 0.752 Sr
0.596 0.910 0.752 Sr
0.910 0.596 0.248 Sr
0.500 0.500 0.500 Li
0.000 0.500 0.749 Mn
0.500 0.000 0.251 Mn
0.000 0.000 0.000 Cu
0.000 0.000 0.500 Cu
0.500 0.500 0.000 Cu
0.173 0.324 0.751 S
0.324 0.173 0.249 S
0.676 0.827 0.249 S
0.827 0.676 0.751 S
0.250 0.750 0.500 O
0.251 0.749 0.000 O
0.749 0.251 0.000 O
0.750 0.250 0.500 O
```

x.
Compound: Sr4LiMn2Cu3S4O4
Source: Alexandria
Functional: PBE with a Hubbard U
Structure: relaxed

Calculated values
Mass density (g cm⁻³): 4.52

```
Sr4LiMn2Cu3S4O4
1.0
5.856 0.000 0.000
-0.479 6.291 0.000
-2.732 -0.368 8.470
Sr Li Mn Cu S O
4 1 2 3 4 4
direct
0.000 0.000 0.000 Sr
0.176 0.930 0.421 Sr
0.415 0.584 0.967 Sr
0.674 0.395 0.373 Sr
0.542 0.173 0.052 Li
0.072 0.471 0.188 Mn
0.625 0.896 0.263 Mn
0.065 0.246 0.693 Cu
0.547 0.262 0.716 Cu
0.619 0.672 0.659 Cu
0.253 0.452 0.522 S
0.359 0.993 0.808 S
0.732 0.974 0.551 S
0.884 0.476 0.839 S
0.280 0.778 0.180 O
0.326 0.295 0.137 O
0.794 0.652 0.204 O
0.839 0.144 0.207 O
```

Top of the stability list: w, leading by 74 meV per atom.

w.
Compound: Sr4LiMn2Cu3S4O4
Source: Alexandria
Functional: PBE with a Hubbard U
Structure: relaxed

Calculated values
Mass density (g cm⁻³): 4.57

```
Sr4LiMn2Cu3S4O4
1.0
2.951 -8.904 0.000
2.951 8.904 0.000
-0.388 0.000 5.881
Sr Li Mn Cu S O
4 1 2 3 4 4
direct
0.211 0.211 0.285 Sr
0.423 0.045 0.273 Sr
0.789 0.789 0.715 Sr
0.955 0.577 0.727 Sr
0.451 0.549 0.000 Li
0.364 0.166 0.767 Mn
0.834 0.636 0.233 Mn
0.319 0.681 0.000 Cu
0.835 0.165 0.500 Cu
0.837 0.163 0.000 Cu
0.138 0.343 0.752 S
0.509 0.010 0.767 S
0.657 0.862 0.248 S
0.990 0.491 0.233 S
0.088 0.912 0.500 O
0.091 0.909 0.000 O
0.551 0.449 0.000 O
0.592 0.408 0.500 O
```

x.
Compound: Sr4LiMn2Cu3S4O4
Source: Alexandria
Functional: PBE with a Hubbard U
Structure: relaxed

Calculated values
Mass density (g cm⁻³): 4.24

```
Sr4LiMn2Cu3S4O4
1.0
5.831 0.000 0.000
0.108 6.639 0.000
2.869 1.857 8.594
Sr Li Mn Cu S O
4 1 2 3 4 4
direct
0.000 0.000 0.000 Sr
0.192 0.472 0.499 Sr
0.470 0.379 0.074 Sr
0.787 0.979 0.425 Sr
0.312 0.106 0.368 Li
0.430 0.833 0.179 Mn
0.889 0.515 0.245 Mn
0.311 0.710 0.749 Cu
0.525 0.214 0.716 Cu
0.823 0.684 0.793 Cu
0.030 0.491 0.947 S
0.260 0.037 0.633 S
0.580 0.937 0.894 S
0.657 0.542 0.637 S
0.063 0.790 0.249 O
0.084 0.281 0.317 O
0.537 0.555 0.266 O
0.603 0.068 0.220 O
```

Top of the stability list: x, leading by 41 meV per atom.